Version i
HfTc3N | GGA-PBE | optimized geometry

Cell lengths 4.1222, 4.1222, 4.1222 Å; angles 90.00, 90.00, 90.00 degrees
With the nearest neighbours (Å) after each atom.
Fractional positions:
Hf1 0.5000 0.5000 0.5000  12 Tc 2.91
Tc1 0.0000 0.5000 0.0000  2 N 2.06
Tc2 0.0000 0.0000 0.5000  2 N 2.06
Tc3 0.5000 0.0000 0.0000  2 N 2.06
N1 0.0000 0.0000 0.0000  6 Tc 2.06

Properties
The value obtained for the magnetization is 0.00 μB per cell. The calculation puts the volume at 14.0 Å³ per atom.

Version ii
HfTc3N | GGA-PBE | optimized geometry

Cell lengths 4.7924, 4.7924, 4.7924 Å; angles 90.00, 90.00, 90.00 degrees
With the nearest neighbours (Å) after each atom.
Fractional positions:
Hf1 0.0000 0.0000 0.0000  6 Tc 2.40
Tc1 0.0000 0.5000 0.0000  2 Hf 2.40
Tc2 0.0000 0.0000 0.5000  2 Hf 2.40
Tc3 0.5000 0.0000 0.0000  2 Hf 2.40
N1 0.5000 0.5000 0.5000  12 Tc 3.39

Properties
The value obtained for the magnetization is 2.04 μB per cell. The calculation puts the volume at 22.0 Å³ per atom.

Stability check: which of them is least stable? version ii.

Version i
HfTcTe2N | GGA-PBE | optimized geometry

Cell lengths 5.4091, 5.4091, 3.7020 Å; angles 90.00, 90.00, 90.00 degrees
With the nearest neighbours (Å) after each atom.
Fractional positions:
Te1 0.0000 0.5000 0.0000  2 Tc 2.70
Te2 0.5000 0.0000 0.0000  2 Tc 2.70
Hf1 0.5000 0.5000 0.5000  8 Te 3.28
Tc1 0.0000 0.0000 0.0000  2 N 1.85
N1 0.0000 0.0000 0.5000  2 Tc 1.85

Properties
The value obtained for the magnetization is 0.00 μB per cell. The calculation puts the volume at 21.7 Å³ per atom.

Version ii
HfTcTe2N | GGA-PBE | optimized geometry

Cell lengths 5.6835, 5.6835, 3.9306 Å; angles 90.00, 90.00, 90.00 degrees
With the nearest neighbours (Å) after each atom.
Fractional positions:
Te1 0.0000 0.5000 0.0000  2 Hf 2.84
Te2 0.5000 0.0000 0.0000  2 Hf 2.84
Hf1 0.0000 0.0000 0.0000  2 N 1.97
Tc1 0.5000 0.5000 0.5000  8 Te 3.46
N1 0.0000 0.0000 0.5000  2 Hf 1.97

Properties
The value obtained for the magnetization is 3.62 μB per cell. The calculation puts the volume at 25.4 Å³ per atom.

Stability check: which of them is least stable? version ii.

Version i
HfTcTeN2 | GGA-PBE | optimized geometry

Cell lengths 3.9609, 3.9609, 5.4140 Å; angles 90.00, 90.00, 90.00 degrees
With the nearest neighbours (Å) after each atom.
Fractional positions:
Te1 0.0000 0.0000 0.5000  2 Tc 2.71, 4 Hf 2.80
Hf1 0.5000 0.5000 0.5000  4 Te 2.80
Tc1 0.0000 0.0000 0.0000  4 N 1.98
N1 0.0000 0.5000 0.0000  2 Tc 1.98
N2 0.5000 0.0000 0.0000  2 Tc 1.98

Properties
The value obtained for the magnetization is 0.00 μB per cell. The calculation puts the volume at 17.0 Å³ per atom.

Version ii
HfTcTeN2 | GGA-PBE | optimized geometry

Cell lengths 4.1129, 4.1129, 5.9984 Å; angles 90.00, 90.00, 90.00 degrees
With the nearest neighbours (Å) after each atom.
Fractional positions:
Te1 0.0000 0.0000 0.5000  4 Tc 2.91, 2 Hf 3.00
Hf1 0.0000 0.0000 0.0000  4 N 2.06
Tc1 0.5000 0.5000 0.5000  4 Te 2.91
N1 0.0000 0.5000 0.0000  2 Hf 2.06
N2 0.5000 0.0000 0.0000  2 Hf 2.06

Properties
The value obtained for the magnetization is 3.73 μB per cell. The calculation puts the volume at 20.3 Å³ per atom.

Stability check: which of them is least stable? version ii.

Version i
HfTiTcN2 | GGA-PBE | optimized geometry

Cell lengths 4.0492, 5.4770, 4.0492 Å; angles 90.00, 90.00, 90.00 degrees
With the nearest neighbours (Å) after each atom.
Fractional positions:
N1 0.0000 0.0000 0.5000  2 Hf 2.02
N2 0.5000 0.0000 0.0000  2 Hf 2.02
Hf1 0.0000 0.0000 0.0000  4 N 2.02
Tc1 0.5000 0.5000 0.5000  4 Ti 2.86
Ti1 0.0000 0.5000 0.0000  2 Hf 2.74, 4 Tc 2.86

Properties
The value obtained for the magnetization is 1.62 μB per cell. The calculation puts the volume at 18.0 Å³ per atom.

Version ii
HfTiTcN2 | GGA-PBE | optimized geometry

Cell lengths 3.9354, 4.8399, 3.9354 Å; angles 90.00, 90.00, 90.00 degrees
With the nearest neighbours (Å) after each atom.
Fractional positions:
N1 0.0000 0.0000 0.5000  2 Tc 1.97
N2 0.5000 0.0000 0.0000  2 Tc 1.97
Hf1 0.5000 0.5000 0.5000  4 Ti 2.78
Tc1 0.0000 0.0000 0.0000  4 N 1.97
Ti1 0.0000 0.5000 0.0000  2 Tc 2.42

Properties
The value obtained for the magnetization is 0.00 μB per cell. The calculation puts the volume at 15.0 Å³ per atom.

Stability check: which of them is least stable? version i.